DFT (PBE-GGA) results for crystalline LaTa2AsW at its relaxed geometry.

Cell lengths 4.8825, 4.7722, 4.8825 Å; angles 90.00, 90.00, 90.00 degrees
Closest atoms and distances in Å follow each position.
Positions (direct):
As 0.0000 0.0000 0.0000  2 W 2.39, 4 Ta 2.44
Ta 0.0000 0.0000 0.5000  2 As 2.44
Ta 0.5000 0.0000 0.0000  2 As 2.44
La 0.5000 0.5000 0.5000  8 Ta 3.41, 4 W 3.45
W 0.0000 0.5000 0.0000  2 As 2.39

Properties
Energy of formation from the pure elements in eV per atom: 0.7755
Magnetic moment in μB per cell: 0.000
Final energy in eV per atom: -8.472
Mass density in g cm⁻³: 11.087